[1]
Below is a geometry-optimized Tm2ZrTi structure, with properties calculated at the PBE level.

Results
Energy relative to the lowest polymorph listed for this composition ... 0 meV/atom
SG ... No. 123
D(E_F) ... 5.279 states/eV per cell
ΔE_f ... 0.18 eV per atom
E_tot ... -6.167 eV per atom

Cell and atoms, written as POSCAR:
```
Tm2ZrTi
1.0
4.661 0.000 0.000
0.000 4.577 0.000
0.000 0.000 4.577
Tm Zr Ti
2 1 1
direct
0.000 0.000 0.500
0.000 0.500 0.000
0.500 0.000 0.000
0.500 0.500 0.500
```

***

[2]
Below is a geometry-optimized UTi structure, with properties calculated at the PBE level.

Results
Energy relative to the lowest polymorph listed for this composition ... 139 meV/atom
SG ... No. 65
D(E_F) ... 5.292 states/eV per cell
ΔE_f ... 0.14 eV per atom
E_tot ... -9.450 eV per atom

Cell and atoms, written as POSCAR:
```
UTi
1.0
-0.475 2.801 -0.564
-0.888 -1.045 2.551
4.458 1.164 2.029
U Ti
1 1
direct
0.500 0.500 0.500
0.000 0.000 0.000
```

***

[3]
Below is a geometry-optimized U2Ti structure, with properties calculated at the PBE level.

Results
Energy relative to the lowest polymorph listed for this composition ... 0 meV/atom
SG ... No. 191
D(E_F) ... 5.265 states/eV per cell
ΔE_f ... -0.08 eV per atom
E_tot ... -10.238 eV per atom

Cell and atoms, written as POSCAR:
```
U2Ti
1.0
4.773 0.000 0.000
-2.386 4.133 0.000
0.000 0.000 2.792
U Ti
2 1
direct
0.667 0.333 0.500
0.333 0.667 0.500
0.000 0.000 0.000
```

***

[4]
Below is a geometry-optimized U6Ti structure, with properties calculated at the PBE level.

Results
SG ... No. 229
D(E_F) ... 21.992 states/eV per cell
ΔE_f ... 1.15 eV per atom
E_tot ... -9.652 eV per atom

Cell and atoms, written as POSCAR:
```
U6Ti
1.0
-1.901 5.780 -0.725
-3.179 -2.644 4.522
5.963 -0.027 1.409
U Ti
6 1
direct
0.250 0.750 0.500
0.500 0.750 0.250
0.250 0.500 0.750
0.750 0.250 0.500
0.500 0.250 0.750
0.750 0.500 0.250
0.000 0.000 0.000
```

***

[5]
Below is a geometry-optimized UTi5 structure, with properties calculated at the PBE level.

Results
SG ... No. 65
D(E_F) ... 13.239 states/eV per cell
ΔE_f ... 0.14 eV per atom
E_tot ... -8.320 eV per atom

Cell and atoms, written as POSCAR:
```
UTi5
1.0
-1.380 -0.922 2.520
-1.239 -4.127 -2.189
6.775 -0.981 3.351
U Ti
1 5
direct
0.000 0.000 0.000
0.000 0.674 0.348
0.000 0.326 0.652
0.500 0.500 0.000
0.500 0.157 0.315
0.500 0.843 0.685
```

***

[6]
Below is a geometry-optimized UTi structure, with properties calculated at the PBE level.

Results
Energy relative to the lowest polymorph listed for this composition ... 0 meV/atom
SG ... No. 63
D(E_F) ... 7.175 states/eV per cell
ΔE_f ... 0.00 eV per atom
E_tot ... -9.589 eV per atom

Cell and atoms, written as POSCAR:
```
UTi
1.0
2.789 0.000 -0.097
0.000 4.804 0.000
-1.206 0.000 5.456
U Ti
2 2
direct
0.946 0.750 0.893
0.054 0.250 0.107
0.301 0.250 0.602
0.699 0.750 0.398
```

***

- What is the formula in the sixth record?
  UTi

***

- Which of these has the lowest D(E_F)?
  U2Ti